Record 1
VASP calculation (PBE-GGA) on Pm4Nd3ThSe8 after structural relaxation.

Lattice parameters (Å, degrees): 8.4211 8.4211 20.6296 90.00 90.00 120.00
Space group R-3m (No. 166, hexagonal axes)
Symmetry-distinct sites (fractional):
Pm (0.0000, 0.0000, 0.0000)
Pm (0.0000, 0.5000, 0.0000)
Nd (0.0000, 0.5000, 0.5000)
Th (0.0000, 0.0000, 0.5000)
Se (0.0000, 0.0000, 0.2510)
Se (0.0013, 0.5007, 0.2507)

Crystal system: trigonal
Total energy: -291.80 eV/cell

Record 2
VASP calculation (PBE-GGA) on ScV2Cd after structural relaxation.

Lattice parameters (Å, degrees): 7.418 7.418 5.521 90.00 90.00 90.00
Space group I-42d (No. 122)
Symmetry-distinct sites (fractional):
Sc (0.000, 0.000, 0.000)
V (0.242, 0.250, 0.625)
Cd (0.000, 0.000, 0.500)

Crystal system: tetragonal
Formation energy from the elements: 0.777 eV/atom

Record 3
VASP calculation (PBE-GGA) on Li2Ca2NdSn2 after structural relaxation.

Lattice parameters (Å, degrees): 4.8868 4.8868 27.6915 90.00 90.00 120.00
Space group R-3m (No. 166, hexagonal axes)
Symmetry-distinct sites (fractional):
Li (0.0000, 0.0000, 0.0985)
Ca (0.0000, 0.0000, 0.3709)
Nd (0.0000, 0.0000, 0.5000)
Sn (0.0000, 0.0000, 0.2373)

Crystal system: trigonal
Formation energy from the elements: -0.516 eV/atom